Computed, not measured: a relaxed structure of KTcBr2 at the PBE level of DFT.

SG: R-3m (166)
formation energy (no corrections): -137.4 meV/atom

Cell: 6.984 6.984 6.984 Å, 34.58 34.58 34.58°
Element x y z (fractional)
1 K 0.000 0.000 0.000
2 Tc 0.500 0.500 0.500
3 Br 0.225 0.225 0.225
4 Br 0.775 0.775 0.775

---

Computed, not measured: a relaxed structure of ReTcCl2 at the PBE level of DFT.

SG: P2/m (10)
formation energy (no corrections): 958.5 meV/atom
N(E_F): 0.920 states/eV per atom

Cell: 2.877 4.277 5.313 Å, 90.00 99.16 90.00°
Element x y z (fractional)
1 Re 0.000 0.000 0.000
2 Tc 0.500 0.000 0.500
3 Cl 0.196 0.500 0.253
4 Cl 0.804 0.500 0.747